A geometry-optimized Ba3Cd structure, computed with PBE.

Cell and atoms, written as extended XYZ:
```
4
Lattice="6.827 0.000 0.000 0.000 6.827 0.000 0.000 0.000 6.827" Properties=species:S:1:pos:R:3 pbc="T T T"
Ba 0.000 0.000 3.413
Ba 0.000 3.413 0.000
Ba 3.413 0.000 0.000
Cd 0.000 0.000 0.000
```

## Properties
ΔE to the lowest computed polymorph = 320 meV/atom
E_form = 0.164 eV/atom